(1)
A plane-wave DFT calculation with PBE was carried out for a geometry-optimized LiCrCd structure.

```
data_LiCrCd
_chemical_formula_sum 'Li1 Cr1 Cd1'
_space_group_name_H-M_alt 'P 1'
_space_group_IT_number 1
_cell_length_a 5.279
_cell_length_b 5.279
_cell_length_c 5.279
_cell_angle_alpha 143.33
_cell_angle_beta 143.33
_cell_angle_gamma 52.83
loop_
_space_group_symop_operation_xyz
'x,y,z'
loop_
_atom_site_label
_atom_site_fract_x
_atom_site_fract_y
_atom_site_fract_z
Li1 0.000 0.000 0.000
Cr1 0.339 0.339 0.000
Cd1 0.663 0.663 0.000
```



(2)
A plane-wave DFT calculation with PBE was carried out for a geometry-optimized LiCrCd structure.

```
data_LiCrCd
_chemical_formula_sum 'Li1 Cr1 Cd1'
_space_group_name_H-M_alt 'P 1'
_space_group_IT_number 1
_cell_length_a 6.959
_cell_length_b 6.959
_cell_length_c 6.959
_cell_angle_alpha 157.99
_cell_angle_beta 157.99
_cell_angle_gamma 31.32
loop_
_space_group_symop_operation_xyz
'x,y,z'
loop_
_atom_site_label
_atom_site_fract_x
_atom_site_fract_y
_atom_site_fract_z
Li1 0.000 0.000 0.000
Cr1 0.341 0.341 0.000
Cd1 0.675 0.675 0.000
```



Most stable: (1)



(1)
A plane-wave DFT calculation with PBE was carried out for a geometry-optimized LiCrCd structure.

```
data_LiCrCd
_chemical_formula_sum 'Li1 Cr1 Cd1'
_space_group_name_H-M_alt 'P 1'
_space_group_IT_number 1
_cell_length_a 4.619
_cell_length_b 4.619
_cell_length_c 2.913
_cell_angle_alpha 90.00
_cell_angle_beta 90.00
_cell_angle_gamma 120.00
loop_
_space_group_symop_operation_xyz
'x,y,z'
loop_
_atom_site_label
_atom_site_fract_x
_atom_site_fract_y
_atom_site_fract_z
Li1 0.000 0.000 0.000
Cr1 0.333 0.667 0.748
Cd1 0.667 0.333 0.316
```



(2)
A plane-wave DFT calculation with PBE was carried out for a geometry-optimized LiCrCd structure.

```
data_LiCrCd
_chemical_formula_sum 'Li1 Cr1 Cd1'
_space_group_name_H-M_alt 'P 1'
_space_group_IT_number 1
_cell_length_a 4.611
_cell_length_b 4.611
_cell_length_c 4.611
_cell_angle_alpha 60.00
_cell_angle_beta 60.00
_cell_angle_gamma 60.00
loop_
_space_group_symop_operation_xyz
'x,y,z'
loop_
_atom_site_label
_atom_site_fract_x
_atom_site_fract_y
_atom_site_fract_z
Li1 0.000 0.000 0.000
Cr1 0.250 0.250 0.250
Cd1 0.500 0.500 0.500
```



Most stable: (1)



(1)
A plane-wave DFT calculation with PBE was carried out for a geometry-optimized MgCrCd structure.

```
data_MgCrCd
_chemical_formula_sum 'Mg1 Cr1 Cd1'
_space_group_name_H-M_alt 'P 1'
_space_group_IT_number 1
_cell_length_a 5.240
_cell_length_b 5.240
_cell_length_c 5.240
_cell_angle_alpha 145.03
_cell_angle_beta 134.28
_cell_angle_gamma 58.83
loop_
_space_group_symop_operation_xyz
'x,y,z'
loop_
_atom_site_label
_atom_site_fract_x
_atom_site_fract_y
_atom_site_fract_z
Mg1 0.000 0.000 0.000
Cr1 0.335 0.335 0.000
Cd1 0.673 0.673 0.000
```



(2)
A plane-wave DFT calculation with PBE was carried out for a geometry-optimized MgCrCd structure.

```
data_MgCrCd
_chemical_formula_sum 'Mg1 Cr1 Cd1'
_space_group_name_H-M_alt 'P 1'
_space_group_IT_number 1
_cell_length_a 6.970
_cell_length_b 6.970
_cell_length_c 6.970
_cell_angle_alpha 156.90
_cell_angle_beta 156.90
_cell_angle_gamma 32.90
loop_
_space_group_symop_operation_xyz
'x,y,z'
loop_
_atom_site_label
_atom_site_fract_x
_atom_site_fract_y
_atom_site_fract_z
Mg1 0.000 0.000 0.000
Cr1 0.652 0.652 0.000
Cd1 0.311 0.311 0.000
```



Most stable: (1)



(1)
A plane-wave DFT calculation with PBE was carried out for a geometry-optimized MgCrCd structure.

```
data_MgCrCd
_chemical_formula_sum 'Mg1 Cr1 Cd1'
_space_group_name_H-M_alt 'P 1'
_space_group_IT_number 1
_cell_length_a 7.192
_cell_length_b 7.070
_cell_length_c 2.783
_cell_angle_alpha 81.22
_cell_angle_beta 76.30
_cell_angle_gamma 22.48
loop_
_space_group_symop_operation_xyz
'x,y,z'
loop_
_atom_site_label
_atom_site_fract_x
_atom_site_fract_y
_atom_site_fract_z
Mg1 0.000 0.000 0.000
Cr1 0.651 0.651 0.349
Cd1 0.311 0.311 0.689
```



(2)
A plane-wave DFT calculation with PBE was carried out for a geometry-optimized MgCrCd structure.

```
data_MgCrCd
_chemical_formula_sum 'Mg1 Cr1 Cd1'
_space_group_name_H-M_alt 'P 1'
_space_group_IT_number 1
_cell_length_a 4.751
_cell_length_b 4.751
_cell_length_c 2.999
_cell_angle_alpha 90.00
_cell_angle_beta 90.00
_cell_angle_gamma 120.00
loop_
_space_group_symop_operation_xyz
'x,y,z'
loop_
_atom_site_label
_atom_site_fract_x
_atom_site_fract_y
_atom_site_fract_z
Mg1 0.000 0.000 0.000
Cr1 0.667 0.333 0.633
Cd1 0.333 0.667 0.291
```



(3)
A plane-wave DFT calculation with PBE was carried out for a geometry-optimized MgCrCd structure.

```
data_MgCrCd
_chemical_formula_sum 'Mg1 Cr1 Cd1'
_space_group_name_H-M_alt 'P 1'
_space_group_IT_number 1
_cell_length_a 4.672
_cell_length_b 4.672
_cell_length_c 4.672
_cell_angle_alpha 60.00
_cell_angle_beta 60.00
_cell_angle_gamma 60.00
loop_
_space_group_symop_operation_xyz
'x,y,z'
loop_
_atom_site_label
_atom_site_fract_x
_atom_site_fract_y
_atom_site_fract_z
Mg1 0.000 0.000 0.000
Cr1 0.750 0.750 0.750
Cd1 0.500 0.500 0.500
```



Most stable: (2)



(1)
A plane-wave DFT calculation with PBE was carried out for a geometry-optimized SrMgCrCd2 structure.

```
data_SrMgCrCd2
_chemical_formula_sum 'Sr1 Mg1 Cr1 Cd2'
_space_group_name_H-M_alt 'P 1'
_space_group_IT_number 1
_cell_length_a 5.299
_cell_length_b 5.299
_cell_length_c 5.252
_cell_angle_alpha 90.00
_cell_angle_beta 90.00
_cell_angle_gamma 90.00
loop_
_space_group_symop_operation_xyz
'x,y,z'
loop_
_atom_site_label
_atom_site_fract_x
_atom_site_fract_y
_atom_site_fract_z
Sr1 0.000 0.000 0.000
Mg1 0.500 0.500 0.500
Cr1 0.500 0.500 0.000
Cd1 0.000 0.500 0.500
Cd2 0.500 0.000 0.500
```



(2)
A plane-wave DFT calculation with PBE was carried out for a geometry-optimized SrMgCrCd2 structure.

```
data_SrMgCrCd2
_chemical_formula_sum 'Sr1 Mg1 Cr1 Cd2'
_space_group_name_H-M_alt 'P 1'
_space_group_IT_number 1
_cell_length_a 6.218
_cell_length_b 6.218
_cell_length_c 6.007
_cell_angle_alpha 90.00
_cell_angle_beta 90.00
_cell_angle_gamma 90.00
loop_
_space_group_symop_operation_xyz
'x,y,z'
loop_
_atom_site_label
_atom_site_fract_x
_atom_site_fract_y
_atom_site_fract_z
Sr1 0.000 0.000 0.000
Mg1 0.500 0.500 0.500
Cr1 0.000 0.000 0.500
Cd1 0.000 0.500 0.000
Cd2 0.500 0.000 0.000
```



Most stable: (1)



(1)
A plane-wave DFT calculation with PBE was carried out for a geometry-optimized MnCrCd2 structure.

```
data_MnCrCd2
_chemical_formula_sum 'Mn1 Cr1 Cd2'
_space_group_name_H-M_alt 'P 1'
_space_group_IT_number 1
_cell_length_a 3.153
_cell_length_b 3.153
_cell_length_c 6.931
_cell_angle_alpha 90.00
_cell_angle_beta 90.00
_cell_angle_gamma 90.00
loop_
_space_group_symop_operation_xyz
'x,y,z'
loop_
_atom_site_label
_atom_site_fract_x
_atom_site_fract_y
_atom_site_fract_z
Mn1 0.000 0.000 0.000
Cr1 0.500 0.500 0.844
Cd1 0.000 0.000 0.571
Cd2 0.500 0.500 0.268
```



(2)
A plane-wave DFT calculation with PBE was carried out for a geometry-optimized MnCrCd2 structure.

```
data_MnCrCd2
_chemical_formula_sum 'Mn1 Cr1 Cd2'
_space_group_name_H-M_alt 'P 1'
_space_group_IT_number 1
_cell_length_a 4.697
_cell_length_b 4.697
_cell_length_c 4.697
_cell_angle_alpha 60.00
_cell_angle_beta 60.00
_cell_angle_gamma 60.00
loop_
_space_group_symop_operation_xyz
'x,y,z'
loop_
_atom_site_label
_atom_site_fract_x
_atom_site_fract_y
_atom_site_fract_z
Mn1 0.000 0.000 0.000
Cr1 0.500 0.500 0.500
Cd1 0.250 0.250 0.250
Cd2 0.750 0.750 0.750
```



(3)
A plane-wave DFT calculation with PBE was carried out for a geometry-optimized MnCrCd2 structure.

```
data_MnCrCd2
_chemical_formula_sum 'Mn1 Cr1 Cd2'
_space_group_name_H-M_alt 'P 1'
_space_group_IT_number 1
_cell_length_a 5.148
_cell_length_b 5.148
_cell_length_c 5.039
_cell_angle_alpha 100.47
_cell_angle_beta 100.47
_cell_angle_gamma 34.21
loop_
_space_group_symop_operation_xyz
'x,y,z'
loop_
_atom_site_label
_atom_site_fract_x
_atom_site_fract_y
_atom_site_fract_z
Mn1 0.000 0.000 0.000
Cr1 0.744 0.744 0.266
Cd1 0.250 0.250 0.781
Cd2 0.493 0.493 0.485
```



Most stable: (1)